# Ho6Co2Ni

Crystalline Ho6Co2Ni at its relaxed geometry (GGA-PBE, Alexandria via LeMat-Bulk).

Structure (CIF):
```
data_Ho6Co2Ni
_chemical_formula_sum 'Ho12 Co4 Ni2'
_space_group_name_H-M_alt 'P 1 21/c 1'
_space_group_IT_number 14
_cell_length_a 6.3815
_cell_length_b 7.0836
_cell_length_c 11.2727
_cell_angle_alpha 90.00
_cell_angle_beta 122.19
_cell_angle_gamma 90.00
loop_
_space_group_symop_operation_xyz
'x,y,z'
'-x,-y,-z'
'-x,y+1/2,-z+1/2'
'x,-y+1/2,z+1/2'
loop_
_atom_site_label
_atom_site_type_symbol
_atom_site_fract_x
_atom_site_fract_y
_atom_site_fract_z
Ho1 Ho 0.0880 0.0528 0.2443
Ho2 Ho 0.2387 0.6743 0.0801
Ho3 Ho 0.3895 0.1697 0.0667
Co1 Co 0.3125 0.1166 0.7707
Ni1 Ni 0.5000 0.0000 0.5000
```

Computed properties:
As for the formation energy: -174 meV per atom. Its crystal system is monoclinic.

# Ho6CoNi2

Crystalline Ho6CoNi2 at its relaxed geometry (GGA-PBE, Alexandria via LeMat-Bulk).

Structure (CIF):
```
data_Ho6CoNi2
_chemical_formula_sum 'Ho12 Co2 Ni4'
_space_group_name_H-M_alt 'P 1 21/c 1'
_space_group_IT_number 14
_cell_length_a 6.3607
_cell_length_b 7.0457
_cell_length_c 11.6212
_cell_angle_alpha 90.00
_cell_angle_beta 123.09
_cell_angle_gamma 90.00
loop_
_space_group_symop_operation_xyz
'x,y,z'
'-x,-y,-z'
'-x,y+1/2,-z+1/2'
'x,-y+1/2,z+1/2'
loop_
_atom_site_label
_atom_site_type_symbol
_atom_site_fract_x
_atom_site_fract_y
_atom_site_fract_z
Ho1 Ho 0.0929 0.1784 0.4293
Ho2 Ho 0.2527 0.6779 0.4285
Ho3 Ho 0.4025 0.0431 0.2502
Co1 Co 0.5000 0.0000 0.5000
Ni1 Ni 0.1931 0.1161 0.7486
```

Computed properties:
As for the formation energy: -240 meV per atom. Its crystal system is monoclinic.

# Ho3CoNi8

Crystalline Ho3CoNi8 at its relaxed geometry (GGA-PBE, Alexandria via LeMat-Bulk).

Structure (CIF):
```
data_Ho3CoNi8
_chemical_formula_sum 'Ho9 Co3 Ni24'
_space_group_name_H-M_alt 'R 3 m'
_space_group_IT_number 160
_space_group_name_Hall 'R 3 -2"'
_cell_length_a 4.9560
_cell_length_b 4.9560
_cell_length_c 24.2907
_cell_angle_alpha 90.00
_cell_angle_beta 90.00
_cell_angle_gamma 120.00
loop_
_atom_site_label
_atom_site_type_symbol
_atom_site_fract_x
_atom_site_fract_y
_atom_site_fract_z
Ho1 Ho 0.0000 0.0000 0.0000
Ho2 Ho 0.0000 0.0000 0.1305
Ho3 Ho 0.0000 0.0000 0.6099
Co1 Co 0.0000 0.0000 0.4861
Ni1 Ni 0.0000 0.0000 0.3108
Ni2 Ni 0.0000 0.0000 0.8117
Ni3 Ni 0.0014 0.5007 0.0626
Ni4 Ni 0.0035 0.5018 0.5600
```

Computed properties:
As for the formation energy: -324 meV per atom. Its crystal system is trigonal.

# Ho2Co3Ni

Crystalline Ho2Co3Ni at its relaxed geometry (GGA-PBE, Alexandria via LeMat-Bulk).

Structure (CIF):
```
data_Ho2Co3Ni
_chemical_formula_sum 'Ho6 Co9 Ni3'
_space_group_name_H-M_alt 'R -3 m'
_space_group_IT_number 166
_space_group_name_Hall '-R 3 2"'
_cell_length_a 4.9773
_cell_length_b 4.9773
_cell_length_c 12.7524
_cell_angle_alpha 90.00
_cell_angle_beta 90.00
_cell_angle_gamma 120.00
loop_
_atom_site_label
_atom_site_type_symbol
_atom_site_fract_x
_atom_site_fract_y
_atom_site_fract_z
Ho1 Ho 0.0000 0.0000 0.1222
Co1 Co 0.0000 0.5000 0.0000
Ni1 Ni 0.0000 0.0000 0.5000
```

Computed properties:
As for the formation energy: -283 meV per atom. Its crystal system is trigonal.